# PaGa2FeO8 (PBE with a Hubbard U, optimized geometry)
# total energy = -0.2529 Ha/atom
# N(E_F) = 19.2 states/eV per cell
data_PaGa2FeO8
_symmetry_space_group_name_H-M 'I -4 m 2'
_symmetry_Int_Tables_number 119
_symmetry_space_group_name_Hall 'I -4 -2'
_cell_length_a 6.7058
_cell_length_b 6.7058
_cell_length_c 6.8069
_cell_angle_alpha 90.00
_cell_angle_beta 90.00
_cell_angle_gamma 90.00
loop_
_atom_site_label
_atom_site_type_symbol
_atom_site_fract_x
_atom_site_fract_y
_atom_site_fract_z
Pa1 Pa 0.0000 0.0000 0.0000
Ga1 Ga 0.0000 0.0000 0.5000
Ga2 Ga 0.0000 0.5000 0.7500
Fe1 Fe 0.0000 0.5000 0.2500
O1 O 0.0000 0.2018 0.3087
O2 O 0.0000 0.3089 0.9408